(1)
10
Lattice="3.716 0.000 0.000 0.000 3.716 0.000 0.000 0.000 18.692" Properties=species:S:1:pos:R:3 comment="Ca5TlZn4, optimized geometry, DFT GGA-PBE" space_group="P4/mmm (123)" formation_enthalpy_0k_mev_per_atom=-276 vol_a3_per_cell=258 pbc="T T T"
Tl 0.000 0.000 0.000
Zn 0.000 0.000 7.531
Ca 1.858 1.858 16.622
Zn 0.000 0.000 11.160
Ca 1.858 1.858 9.346
Zn 0.000 0.000 3.878
Ca 1.858 1.858 12.998
Zn 0.000 0.000 14.814
Ca 1.858 1.858 5.693
Ca 1.858 1.858 2.069



(2)
4
Lattice="1.428 -2.474 0.000 1.428 2.474 0.000 0.000 0.000 7.741" Properties=species:S:1:pos:R:3 comment="PRu3, optimized geometry, DFT GGA-PBE" space_group="P-6m2 (187)" de_polymorph_mev_per_atom=82 formation_enthalpy_0k_mev_per_atom=-88 vol_a3_per_cell=55 pbc="T T T"
Ru 1.428 -0.825 6.066
Ru 1.428 -0.825 1.675
Ru 0.000 0.000 3.870
P 0.000 0.000 0.000



(3)
11
Lattice="6.851 -0.010 -1.069 0.165 3.983 -0.152 -1.494 0.005 6.771" Properties=species:S:1:pos:R:3 comment="Al2Cu2Pt7, optimized geometry, DFT GGA-PBE" space_group="C2/m (12)" formation_enthalpy_0k_mev_per_atom=-244 vol_a3_per_cell=178 pbc="T T T"
Cu 0.805 1.106 4.612
Pt 2.103 3.093 3.394
Pt -0.786 3.062 4.187
Pt 6.308 0.916 1.362
Pt 3.419 0.885 2.156
Pt 1.131 3.060 6.228
Al 1.335 1.990 1.257
Pt 0.000 0.000 0.000
Al 4.187 1.988 4.293
Cu 4.717 2.872 0.937
Pt 4.391 0.918 -0.678



(4)
4
Lattice="-0.953 -2.997 -4.556 3.635 0.077 -4.175 3.085 -4.471 -1.067" Properties=species:S:1:pos:R:3 comment="PmSnBiSb, optimized geometry, DFT GGA-PBE" space_group="F-43m (216)" e_form_raw_ev_per_fu=-1.17 vol_a3_per_cell=120 pbc="T T T"
Sb 2.883 -3.695 -4.899
Sn 1.442 -1.848 -2.449
Pm 4.325 -5.543 -7.348
Bi 0.000 0.000 0.000



> Which formula does entry 2 have?

PRu3



> Number 3 is which compound?

Al2Cu2Pt7